[1]
# LaTc2Mo (PBE-GGA, optimized geometry)
# DFT formation energy: 0.51 eV per atom
# DFT total energy: -34.5 eV/f.u.
data_LaTc2Mo
_chemical_formula_sum 'La2 Tc4 Mo2'
_cell_length_a 3.178
_cell_length_b 4.802
_cell_length_c 9.477
_cell_angle_alpha 90.00
_cell_angle_beta 90.00
_cell_angle_gamma 90.00
_symmetry_space_group_name_H-M 'C m m 2'
_symmetry_Int_Tables_number 35
loop_
_symmetry_equiv_pos_as_xyz
'x,y,z'
'-x,-y,z'
'-x,y,z'
'x,-y,z'
'x+1/2,y+1/2,z'
'-x+1/2,-y+1/2,z'
'-x+1/2,y+1/2,z'
'x+1/2,-y+1/2,z'
loop_
_atom_site_label
_atom_site_type_symbol
_atom_site_fract_x
_atom_site_fract_y
_atom_site_fract_z
La1 La 0.000 0.000 0.000
Tc1 Tc 0.000 0.000 0.508
Tc2 Tc 0.000 0.500 0.724
Mo1 Mo 0.000 0.500 0.293

---

[2]
# La2TcMo (PBE-GGA, optimized geometry)
# DFT formation energy: 0.60 eV per atom
# DFT total energy: -28.6 eV/f.u.
# E above lowest polymorph: 1.81 eV/f.u.
data_La2TcMo
_chemical_formula_sum 'La2 Tc1 Mo1'
_cell_length_a 5.082
_cell_length_b 5.082
_cell_length_c 3.596
_cell_angle_alpha 90.00
_cell_angle_beta 90.00
_cell_angle_gamma 90.00
_symmetry_space_group_name_H-M 'P 4/m m m'
_symmetry_Int_Tables_number 123
_symmetry_space_group_name_Hall '-P 4 2'
loop_
_atom_site_label
_atom_site_type_symbol
_atom_site_fract_x
_atom_site_fract_y
_atom_site_fract_z
La1 La 0.000 0.500 0.000
Tc1 Tc 0.000 0.000 0.500
Mo1 Mo 0.500 0.500 0.500

---

[3]
# LaTc3Mo (PBE-GGA, optimized geometry)
# DFT formation energy: 2.35 eV per atom
# DFT total energy: -35.1 eV/f.u.
# E above lowest polymorph: 7.20 eV/f.u.
data_LaTc3Mo
_chemical_formula_sum 'La1 Tc3 Mo1'
_cell_length_a 4.668
_cell_length_b 4.668
_cell_length_c 4.668
_cell_angle_alpha 90.00
_cell_angle_beta 90.00
_cell_angle_gamma 90.00
_symmetry_space_group_name_H-M 'P m -3 m'
_symmetry_Int_Tables_number 221
_symmetry_space_group_name_Hall '-P 4 2 3'
loop_
_atom_site_label
_atom_site_type_symbol
_atom_site_fract_x
_atom_site_fract_y
_atom_site_fract_z
La1 La 0.000 0.000 0.000
Tc1 Tc 0.000 0.000 0.500
Mo1 Mo 0.500 0.500 0.500

---

[4]
# LaTc3Mo (PBE-GGA, optimized geometry)
# DFT formation energy: 0.91 eV per atom
# DFT total energy: -42.3 eV/f.u.
# E above lowest polymorph: 0.00 eV/f.u.
data_LaTc3Mo
_chemical_formula_sum 'La1 Tc3 Mo1'
_cell_length_a 4.761
_cell_length_b 4.761
_cell_length_c 4.761
_cell_angle_alpha 90.00
_cell_angle_beta 90.00
_cell_angle_gamma 90.00
_symmetry_space_group_name_H-M 'P m -3 m'
_symmetry_Int_Tables_number 221
_symmetry_space_group_name_Hall '-P 4 2 3'
loop_
_atom_site_label
_atom_site_type_symbol
_atom_site_fract_x
_atom_site_fract_y
_atom_site_fract_z
La1 La 0.000 0.000 0.000
Tc1 Tc 0.000 0.500 0.500
Mo1 Mo 0.500 0.500 0.500

---

[5]
# LaTcMo2 (PBE-GGA, optimized geometry)
# DFT formation energy: 0.46 eV per atom
# DFT total energy: -35.1 eV/f.u.
# E above lowest polymorph: 0.55 eV/f.u.
data_LaTcMo2
_chemical_formula_sum 'La2 Tc2 Mo4'
_cell_length_a 9.615
_cell_length_b 3.202
_cell_length_c 5.688
_cell_angle_alpha 90.00
_cell_angle_beta 108.65
_cell_angle_gamma 90.00
_symmetry_space_group_name_H-M 'C 1 m 1'
_symmetry_Int_Tables_number 8
loop_
_symmetry_equiv_pos_as_xyz
'x,y,z'
'x,-y,z'
'x+1/2,y+1/2,z'
'x+1/2,-y+1/2,z'
loop_
_atom_site_label
_atom_site_type_symbol
_atom_site_fract_x
_atom_site_fract_y
_atom_site_fract_z
La1 La 0.000 0.000 0.000
Tc1 Tc 0.233 0.000 0.662
Mo1 Mo 0.012 0.500 0.514
Mo2 Mo 0.291 0.500 0.349

---

[6]
# LaTcMo2 (PBE-GGA, optimized geometry)
# DFT formation energy: 0.62 eV per atom
# DFT total energy: -34.5 eV/f.u.
# E above lowest polymorph: 1.17 eV/f.u.
data_LaTcMo2
_chemical_formula_sum 'La3 Tc3 Mo6'
_cell_length_a 2.9183
_cell_length_b 2.9183
_cell_length_c 29.9930
_cell_angle_alpha 90.00
_cell_angle_beta 90.00
_cell_angle_gamma 120.00
_symmetry_space_group_name_H-M 'R -3 m'
_symmetry_Int_Tables_number 166
_symmetry_space_group_name_Hall '-R 3 2"'
loop_
_atom_site_label
_atom_site_type_symbol
_atom_site_fract_x
_atom_site_fract_y
_atom_site_fract_z
La1 La 0.0000 0.0000 0.0000
Tc1 Tc 0.0000 0.0000 0.5000
Mo1 Mo 0.0000 0.0000 0.2382

---

[7]
# La3TcMo (PBE-GGA, optimized geometry)
# DFT formation energy: 0.80 eV per atom
# DFT total energy: -32.0 eV/f.u.
data_La3TcMo
_chemical_formula_sum 'La3 Tc1 Mo1'
_cell_length_a 5.353
_cell_length_b 5.353
_cell_length_c 5.353
_cell_angle_alpha 90.00
_cell_angle_beta 90.00
_cell_angle_gamma 90.00
_symmetry_space_group_name_H-M 'P m -3 m'
_symmetry_Int_Tables_number 221
_symmetry_space_group_name_Hall '-P 4 2 3'
loop_
_atom_site_label
_atom_site_type_symbol
_atom_site_fract_x
_atom_site_fract_y
_atom_site_fract_z
La1 La 0.000 0.000 0.500
Tc1 Tc 0.000 0.000 0.000
Mo1 Mo 0.500 0.500 0.500

---

[8]
# La2TcMo (PBE-GGA, optimized geometry)
# DFT formation energy: 0.37 eV per atom
# DFT total energy: -29.6 eV/f.u.
# E above lowest polymorph: 0.87 eV/f.u.
data_La2TcMo
_chemical_formula_sum 'La2 Tc1 Mo1'
_cell_length_a 3.424
_cell_length_b 4.333
_cell_length_c 6.221
_cell_angle_alpha 90.00
_cell_angle_beta 90.00
_cell_angle_gamma 90.00
_symmetry_space_group_name_H-M 'P m m 2'
_symmetry_Int_Tables_number 25
loop_
_symmetry_equiv_pos_as_xyz
'x,y,z'
'-x,-y,z'
'-x,y,z'
'x,-y,z'
loop_
_atom_site_label
_atom_site_type_symbol
_atom_site_fract_x
_atom_site_fract_y
_atom_site_fract_z
La1 La 0.000 0.000 0.000
La2 La 0.500 0.500 0.348
Tc1 Tc 0.500 0.500 0.741
Mo1 Mo 0.000 0.000 0.605